Record 1
A plane-wave DFT calculation with PBE-GGA was carried out for an optimized crystal structure of Li2Ag2Pd5.

Values from the calculation:
For the formation energy, the calculation gives -146 meV/atom. The total magnetization is 0.0 Bohr magnetons per cell. As for the total DFT energy (no corrections): -4.09 eV/atom.

Cell: 4.530 5.091 7.306 Å, 107.05 90.20 116.13°
Space group P-1 (No. 2)
Symmetry-distinct sites (fractional):
Li 0.200 0.399 0.425
Ag 0.405 0.811 0.813
Pd 0.086 0.172 0.716
Pd 0.267 0.534 0.110
Pd 0.500 0.000 0.500

Record 2
A plane-wave DFT calculation with PBE-GGA was carried out for an optimized crystal structure of Li7Ag2Pd.

Values from the calculation:
For the formation energy, the calculation gives -151 meV/atom. The total magnetization is 0.0 Bohr magnetons per cell. As for the total DFT energy (no corrections): -2.58 eV/atom.

Cell: 4.4095 4.4095 10.0051 Å, 90.00 90.00 120.00°
Space group P3m1 (No. 156)
Symmetry-distinct sites (fractional):
Li 0.0000 0.0000 0.0000
Li 0.0000 0.0000 0.2379
Li 0.0000 0.0000 0.7449
Li 0.3333 0.6667 0.3836
Li 0.3333 0.6667 0.8183
Li 0.6667 0.3333 0.1819
Li 0.6667 0.3333 0.5923
Ag 0.0000 0.0000 0.4912
Ag 0.6667 0.3333 0.9066
Pd 0.3333 0.6667 0.0914

Record 3
A plane-wave DFT calculation with PBE-GGA was carried out for an optimized crystal structure of Li3Ag7Pd.

Values from the calculation:
For the formation energy, the calculation gives 16 meV/atom. The total magnetization is 0.0 Bohr magnetons per cell. As for the total DFT energy (no corrections): -2.79 eV/atom.

Cell: 8.670 9.533 5.278 Å, 90.00 114.04 90.00°
Space group C2/m (No. 12)
Symmetry-distinct sites (fractional):
Li 0.000 0.000 0.000
Li 0.000 0.233 0.500
Ag 0.000 0.500 0.500
Ag 0.173 0.242 0.188
Ag 0.181 0.000 0.555
Pd 0.000 0.500 0.000

Record 4
A plane-wave DFT calculation with PBE-GGA was carried out for an optimized crystal structure of LiAgPd3.

Values from the calculation:
For the formation energy, the calculation gives 93 meV/atom. For the energy above the most stable polymorph in this dataset, the calculation gives 286.0 meV/atom. The total magnetization is 0.0 Bohr magnetons per cell. As for the total DFT energy (no corrections): -3.98 eV/atom.

Cell: 6.0822 6.0822 4.8369 Å, 90.00 90.00 120.00°
Space group P6_3/mmc (No. 194)
Symmetry-distinct sites (fractional):
Li 0.0000 0.0000 0.0000
Ag 0.3333 0.6667 0.2500
Pd 0.1861 0.3722 0.7500

Q: Look up the total magnetization of the second one.
A: 0.0 Bohr magnetons per cell

Q: Among the records above, which one has the highest total DFT energy (no corrections)?
A: Li7Ag2Pd

Q: The lowest total DFT energy (no corrections) belongs to which entry?
A: Li2Ag2Pd5

Repeat the second record exactly.
A plane-wave DFT calculation with PBE-GGA was carried out for an optimized crystal structure of Li7Ag2Pd.

Values from the calculation:
For the formation energy, the calculation gives -151 meV/atom. The total magnetization is 0.0 Bohr magnetons per cell. As for the total DFT energy (no corrections): -2.58 eV/atom.

Cell: 4.4095 4.4095 10.0051 Å, 90.00 90.00 120.00°
Space group P3m1 (No. 156)
Symmetry-distinct sites (fractional):
Li 0.0000 0.0000 0.0000
Li 0.0000 0.0000 0.2379
Li 0.0000 0.0000 0.7449
Li 0.3333 0.6667 0.3836
Li 0.3333 0.6667 0.8183
Li 0.6667 0.3333 0.1819
Li 0.6667 0.3333 0.5923
Ag 0.0000 0.0000 0.4912
Ag 0.6667 0.3333 0.9066
Pd 0.3333 0.6667 0.0914